(1)
Material: CuIrBr2
Method: DFT, PBE-GGA
State: relaxed

Summary:
energy above the most stable polymorph in this dataset	977	meV/atom
M_tot	0.320	μB/atom
density of states at the Fermi level	6.84	states/eV per cell

Cell: 4.7350 4.7350 4.7350 Å, 60.00 60.00 60.00°
Fractional coordinates of all 4 atoms:
1 Br 0.0000 0.0000 0.0000
2 Br 0.7500 0.7500 0.7500
3 Ir 0.2500 0.2500 0.2500
4 Cu 0.5000 0.5000 0.5000

(2)
Material: Zr3Te
Method: DFT, PBE-GGA
State: relaxed

Summary:
DFT total energy	-29.20	eV per cell
M_tot	0.000	μB/atom
density of states at the Fermi level	5.59	states/eV per cell

Cell: 5.0006 5.0006 5.0006 Å, 60.00 60.00 60.00°
Fractional coordinates of all 4 atoms:
1 Zr 0.2500 0.2500 0.2500
2 Zr 0.5000 0.5000 0.5000
3 Zr 0.7500 0.7500 0.7500
4 Te 0.0000 0.0000 0.0000

(3)
Material: HgOsN2F
Method: DFT, PBE-GGA
State: relaxed

Summary:
energy above the most stable polymorph in this dataset	0	meV/atom
M_tot	0.000	μB/atom
density of states at the Fermi level	2.88	states/eV per cell

Cell: 3.8649 3.8649 4.4819 Å, 90.00 90.00 90.00°
Fractional coordinates of all 5 atoms:
1 F 0.0000 0.0000 0.5000
2 Hg 0.5000 0.5000 0.5000
3 Os 0.0000 0.0000 0.0000
4 N 0.5000 0.0000 0.0000
5 N 0.0000 0.5000 0.0000

(4)
Material: Pm3CdRu
Method: DFT, PBE-GGA
State: relaxed

Summary:
energy above the most stable polymorph in this dataset	0	meV/atom
M_tot	0.000	μB/atom
density of states at the Fermi level	7.62	states/eV per cell
ΔH_f (0 K)	-0.2729	eV/atom

Cell: 6.0720 6.0720 8.6978 Å, 102.18 102.18 113.29°
Fractional coordinates of all 10 atoms:
1 Ru 0.7500 0.7500 0.0000
2 Ru 0.2500 0.2500 0.0000
3 Cd 0.7072 0.2072 0.5000
4 Cd 0.2928 0.7928 0.5000
5 Pm 0.6978 0.5820 0.2798
6 Pm 0.3004 0.8004 0.1008
7 Pm 0.6996 0.1996 0.8992
8 Pm 0.9180 0.8022 0.7202
9 Pm 0.3022 0.4180 0.7202
10 Pm 0.0820 0.1978 0.2798

(5)
Material: La3RuAu
Method: DFT, PBE-GGA
State: relaxed

Summary:
energy above the most stable polymorph in this dataset	123	meV/atom
M_tot	0.000	μB/atom
density of states at the Fermi level	7.97	states/eV per cell
ΔH_f (0 K)	-0.3643	eV/atom

Cell: 5.2194 5.2194 11.6664 Å, 90.00 90.00 120.00°
Fractional coordinates of all 10 atoms:
1 Au 0.6667 0.3333 0.2500
2 Au 0.3333 0.6667 0.7500
3 La 0.0000 0.0000 0.2500
4 La 0.6667 0.3333 0.9271
5 La 0.3333 0.6667 0.4271
6 La 0.0000 0.0000 0.7500
7 La 0.6667 0.3333 0.5729
8 La 0.3333 0.6667 0.0729
9 Ru 0.0000 0.0000 0.5000
10 Ru 0.0000 0.0000 0.0000

(6)
Material: InGa2Rh
Method: DFT, PBE-GGA
State: relaxed

Summary:
M_tot	0.000	μB/atom
density of states at the Fermi level	4.99	states/eV per cell
ΔH_f (0 K)	-0.0932	eV/atom

Cell: 4.0803 4.0803 9.5180 Å, 77.62 77.62 90.00°
Fractional coordinates of all 8 atoms:
1 In 0.0000 0.0000 0.0000
2 In 0.7500 0.2500 0.5000
3 Rh 0.2500 0.7500 0.5000
4 Rh 0.5000 0.5000 0.0000
5 Ga 0.5801 0.1250 0.2500
6 Ga 0.1699 0.6250 0.2500
7 Ga 0.3750 0.4199 0.7500
8 Ga 0.8750 0.8301 0.7500

Question: Which formula does entry 6 have?
Answer: InGa2Rh

Copy entry 5 word for word.
Material: La3RuAu
Method: DFT, PBE-GGA
State: relaxed

Summary:
energy above the most stable polymorph in this dataset	123	meV/atom
M_tot	0.000	μB/atom
density of states at the Fermi level	7.97	states/eV per cell
ΔH_f (0 K)	-0.3643	eV/atom

Cell: 5.2194 5.2194 11.6664 Å, 90.00 90.00 120.00°
Fractional coordinates of all 10 atoms:
1 Au 0.6667 0.3333 0.2500
2 Au 0.3333 0.6667 0.7500
3 La 0.0000 0.0000 0.2500
4 La 0.6667 0.3333 0.9271
5 La 0.3333 0.6667 0.4271
6 La 0.0000 0.0000 0.7500
7 La 0.6667 0.3333 0.5729
8 La 0.3333 0.6667 0.0729
9 Ru 0.0000 0.0000 0.5000
10 Ru 0.0000 0.0000 0.0000

Question: Which of these has the lowest density of states at the Fermi level?
Answer: HgOsN2F

Question: Which value of density of states at the Fermi level does entry 3 give?
Answer: 2.88 states/eV per cell